1.
First-principles (PBE) data for SmURu3 after structural relaxation, as listed in Alexandria.

Lattice parameters (Å, degrees): 5.936 6.244 6.305 72.94 84.31 64.71
Space group P1 (No. 1)
Inequivalent atoms, fractional coordinates:
Sm (0.000, 0.000, 0.000)
Sm (0.452, 0.964, 0.362)
U (0.108, 0.625, 0.585)
U (0.658, 0.650, 0.937)
Ru (0.234, 0.456, 0.964)
Ru (0.428, 0.460, 0.321)
Ru (0.496, 0.072, 0.811)
Ru (0.662, 0.447, 0.681)
Ru (0.882, 0.046, 0.492)
Ru (0.924, 0.466, 0.282)

Output
Polymorph energy (0 for the lowest one), eV/atom: 0.0000
Calculated formation energy, eV/atom: -0.25
Mass density, g cm⁻³: 11.4

2.
First-principles (PBE) data for Cs2K12Na3Tl after structural relaxation, as listed in Alexandria.

Lattice parameters (Å, degrees): 9.1460 9.1460 53.5025 90.00 90.00 120.00
Space group R-3m (No. 166, hexagonal axes)
Inequivalent atoms, fractional coordinates:
Cs (0.0000, 0.0000, 0.1430)
K (0.0143, 0.5072, 0.1176)
K (0.0154, 0.5077, 0.6147)
Na (0.0000, 0.5000, 0.0000)
Tl (0.0000, 0.0000, 0.5000)

Output
Calculated formation energy, eV/atom: 0.08
Mass density, g cm⁻³: 1.3

3.
First-principles (PBE) data for Ca2ReTe after structural relaxation, as listed in Alexandria.

Lattice parameters (Å, degrees): 3.849 3.849 6.541 90.00 90.00 90.00
Space group P4/mmm (No. 123)
Inequivalent atoms, fractional coordinates:
Ca (0.000, 0.000, 0.240)
Re (0.500, 0.500, 0.000)
Te (0.500, 0.500, 0.500)

Output
Raw formation energy, eV/f.u.: 0.56
Mass density, g cm⁻³: 6.8